## 1
Below is a relaxed structure of AlBRu2, with properties calculated at the PBE-GGA level.

Values from the calculation:
For the magnetization, the calculation gives 0.000 μB/f.u. The calculation puts the density of states at the Fermi level at 3.0 states/eV per cell.

Cell: 6.742 6.742 5.292 Å, 50.43 50.43 90.00°
Atoms (fractional coordinates):
Ru 0.528 0.125 0.250
Ru 0.222 0.625 0.250
Ru 0.375 0.472 0.750
Ru 0.875 0.778 0.750
B 0.500 0.500 0.000
B 0.250 0.750 0.500
Al 0.000 0.000 0.000
Al 0.750 0.250 0.500

## 2
Below is a relaxed structure of AlBRu2, with properties calculated at the PBE-GGA level.

Values from the calculation:
For the magnetization, the calculation gives 0.000 μB/f.u. The calculation puts the density of states at the Fermi level at 4.7 states/eV per cell.

Cell: 2.916 4.371 7.548 Å, 90.00 90.00 90.00°
Atoms (fractional coordinates):
Al 0.500 0.250 0.369
Al 0.500 0.750 0.631
B 0.500 0.250 0.867
B 0.500 0.750 0.133
Ru 0.000 0.250 0.081
Ru 0.000 0.750 0.919
Ru 0.000 0.250 0.657
Ru 0.000 0.750 0.343

## 3
Below is a relaxed structure of AlBRu2, with properties calculated at the PBE-GGA level.

Values from the calculation:
For the magnetization, the calculation gives 0.000 μB/f.u. The calculation puts the density of states at the Fermi level at 2.8 states/eV per cell.

Cell: 4.051 4.051 4.051 Å, 60.00 60.00 60.00°
Atoms (fractional coordinates):
Ru 0.250 0.250 0.250
Ru 0.750 0.750 0.750
B 0.000 0.000 0.000
Al 0.500 0.500 0.500

Of them, 2 has the highest stability.

## 1
Below is a relaxed structure of AlBRu2, with properties calculated at the PBE-GGA level.

Values from the calculation:
For the magnetization, the calculation gives 0.000 μB/f.u. The calculation puts the density of states at the Fermi level at 3.5 states/eV per cell.

Cell: 2.813 2.813 5.932 Å, 90.00 90.00 90.00°
Atoms (fractional coordinates):
Ru 0.000 0.000 0.784
Ru 0.000 0.000 0.216
B 0.500 0.500 0.000
Al 0.500 0.500 0.500

## 2
Below is a relaxed structure of AlBRu2, with properties calculated at the PBE-GGA level.

Values from the calculation:
For the magnetization, the calculation gives 0.000 μB/f.u. The calculation puts the density of states at the Fermi level at 3.2 states/eV per cell.

Cell: 2.888 4.029 4.029 Å, 90.00 90.00 90.00°
Atoms (fractional coordinates):
Ru 0.000 0.000 0.500
Ru 0.000 0.500 0.000
B 0.500 0.500 0.500
Al 0.500 0.000 0.000

Of them, 1 has the highest stability.

## 1
Below is a relaxed structure of AlBRu, with properties calculated at the PBE-GGA level.

Values from the calculation:
For the magnetization, the calculation gives 0.000 μB/f.u. The calculation puts the density of states at the Fermi level at 1.3 states/eV per cell.

Cell: 3.107 3.667 3.667 Å, 120.00 90.00 90.00°
Atoms (fractional coordinates):
Ru 0.167 0.000 0.000
B 0.167 0.667 0.333
Al 0.667 0.333 0.667

## 2
Below is a relaxed structure of AlBRu, with properties calculated at the PBE-GGA level.

Values from the calculation:
For the magnetization, the calculation gives 0.000 μB/f.u. The calculation puts the density of states at the Fermi level at 1.8 states/eV per cell.

Cell: 2.964 3.940 6.104 Å, 90.00 104.05 90.00°
Atoms (fractional coordinates):
Al 0.422 0.250 0.845
Al 0.578 0.750 0.155
Ru 0.873 0.750 0.746
Ru 0.127 0.250 0.254
B 0.761 0.250 0.521
B 0.239 0.750 0.479

Of them, 1 has the highest stability.

## 1
Below is a relaxed structure of AlBRu, with properties calculated at the PBE-GGA level.

Values from the calculation:
For the magnetization, the calculation gives 0.000 μB/f.u. The calculation puts the density of states at the Fermi level at 1.7 states/eV per cell.

Cell: 2.941 2.825 8.789 Å, 90.02 90.00 90.00°
Atoms (fractional coordinates):
Al 0.750 0.499 0.636
Al 0.250 0.501 0.364
B 0.250 0.500 0.057
B 0.750 0.500 0.943
Ru 0.250 0.000 0.841
Ru 0.750 0.000 0.159

## 2
Below is a relaxed structure of AlBRu, with properties calculated at the PBE-GGA level.

Values from the calculation:
For the magnetization, the calculation gives 0.000 μB/f.u. The calculation puts the density of states at the Fermi level at 0.3 states/eV per cell.

Cell: 2.871 2.871 4.606 Å, 108.16 108.16 90.00°
Atoms (fractional coordinates):
Ru 0.920 0.920 0.839
B 0.307 0.307 0.615
Al 0.623 0.623 0.246

Of them, 2 has the highest stability.

## 1
Below is a relaxed structure of AlB3Ru, with properties calculated at the PBE-GGA level.

Values from the calculation:
For the magnetization, the calculation gives 0.000 μB/f.u. The calculation puts the density of states at the Fermi level at 0.5 states/eV per cell.

Cell: 4.109 4.109 4.109 Å, 90.00 90.00 90.00°
Atoms (fractional coordinates):
Ru 0.000 0.000 0.000
B 0.000 0.500 0.000
B 0.000 0.000 0.500
B 0.500 0.000 0.000
Al 0.500 0.500 0.500

## 2
Below is a relaxed structure of AlB3Ru, with properties calculated at the PBE-GGA level.

Values from the calculation:
For the magnetization, the calculation gives 0.000 μB/f.u. The calculation puts the density of states at the Fermi level at 3.2 states/eV per cell.

Cell: 3.958 3.958 3.958 Å, 90.00 90.00 90.00°
Atoms (fractional coordinates):
Ru 0.500 0.500 0.500
B 0.000 0.500 0.000
B 0.000 0.000 0.500
B 0.500 0.000 0.000
Al 0.000 0.000 0.000

Of them, 1 has the highest stability.

## 1
Below is a relaxed structure of AlBRu3, with properties calculated at the PBE-GGA level.

Values from the calculation:
For the magnetization, the calculation gives 0.000 μB/f.u. The calculation puts the density of states at the Fermi level at 10.3 states/eV per cell.

Cell: 4.640 5.683 5.683 Å, 119.99 90.00 90.00°
Atoms (fractional coordinates):
Al 0.250 0.333 0.667
Al 0.750 0.667 0.333
B 0.000 0.000 0.000
B 0.500 0.000 0.000
Ru 0.250 0.824 0.176
Ru 0.750 0.176 0.824
Ru 0.250 0.824 0.648
Ru 0.750 0.176 0.352
Ru 0.250 0.352 0.176
Ru 0.750 0.648 0.824

## 2
Below is a relaxed structure of AlBRu3, with properties calculated at the PBE-GGA level.

Values from the calculation:
For the magnetization, the calculation gives 2.101 μB/f.u. The calculation puts the density of states at the Fermi level at 4.0 states/eV per cell.

Cell: 4.375 4.375 4.375 Å, 90.00 90.00 90.00°
Each line ends with the local moment (μB).
Atoms (fractional coordinates):
Ru 0.000 0.500 0.000  0.71
Ru 0.000 0.000 0.500  0.80
Ru 0.500 0.000 0.000  0.63
B 0.500 0.500 0.500  -0.05
Al 0.000 0.000 0.000  -0.02

## 3
Below is a relaxed structure of AlBRu3, with properties calculated at the PBE-GGA level.

Values from the calculation:
For the magnetization, the calculation gives 1.106 μB/f.u. The calculation puts the density of states at the Fermi level at 5.2 states/eV per cell.

Cell: 4.062 4.062 4.062 Å, 90.00 90.00 90.00°
Each line ends with the local moment (μB).
Atoms (fractional coordinates):
Ru 0.000 0.500 0.000  0.37
Ru 0.000 0.000 0.500  0.34
Ru 0.500 0.000 0.000  0.32
B 0.000 0.000 0.000  0.00
Al 0.500 0.500 0.500  -0.01

Of them, 1 has the highest stability.